No. 1
Material: Pr8Nd3Y2
Method: DFT, PBE
State: relaxed

Cell lengths 6.2870, 8.9995, 8.9995 Å; angles 83.83, 73.02, 73.02 degrees
Element x y z (fractional)
Pr 0.2119 0.5567 0.5567
Pr 0.7881 0.4433 0.4433
Pr 0.9505 0.1519 0.1519
Pr 0.0495 0.8481 0.8481
Pr 0.6725 0.5710 0.0835
Pr 0.6725 0.0835 0.5710
Pr 0.3275 0.9165 0.4290
Pr 0.3275 0.4290 0.9165
Nd 0.5000 0.0000 0.0000
Nd 0.0000 0.2449 0.7551
Nd 0.0000 0.7551 0.2449
Y 0.3563 0.2882 0.2882
Y 0.6437 0.7118 0.7118

The space group is C2/m. The crystal system is monoclinic. Its formation energy is 1.94 eV/f.u. The calculated total energy is -4.89 eV per atom. The calculation puts the total magnetization at 0.000 Bohr magnetons per cell. The value obtained for the energy above the lowest structure with this stoichiometry is 0 meV/atom.

***

No. 2
Material: Ta4GaH2
Method: DFT, PBE
State: relaxed

Cell lengths 4.2305, 3.7785, 6.4431 Å; angles 107.05, 90.00, 90.00 degrees
Element x y z (fractional)
Ta 0.5000 0.8533 0.7066
Ta 0.0000 0.6559 0.3117
Ta 0.5000 0.1467 0.2934
Ta 0.0000 0.3441 0.6883
Ga 0.0000 0.0000 0.0000
H 0.5000 0.6069 0.2137
H 0.5000 0.3931 0.7863

The space group is Cmmm. The crystal system is orthorhombic. The calculated total energy is -8.13 eV per atom. The calculation puts the total magnetization at 0.000 Bohr magnetons per cell. The value obtained for the energy above the lowest structure with this stoichiometry is 148 meV/atom.

***

No. 3
Material: Pr2NdHoS5
Method: DFT, PBE
State: relaxed

Cell lengths 4.8717, 4.8717, 10.5105 Å; angles 90.00, 90.00, 90.00 degrees
Element x y z (fractional)
Pr 0.5000 0.5000 0.3091
Pr 0.5000 0.5000 0.6909
Nd 0.0000 0.0000 0.0000
Ho 0.0000 0.0000 0.5000
S 0.0000 0.5000 0.5000
S 0.5000 0.0000 0.5000
S 0.0000 0.0000 0.7495
S 0.0000 0.0000 0.2505
S 0.5000 0.5000 0.0000

The space group is P4/mmm. The crystal system is tetragonal. The raw formation energy comes out at -1501 meV per atom. The calculated total energy is -5.89 eV per atom. The calculation puts the total magnetization at 0.000 Bohr magnetons per cell.

***

No. 4
Material: Mg2Sn
Method: DFT, PBE
State: relaxed

Cell lengths 5.9421, 5.9421, 7.8693 Å; angles 70.98, 70.98, 33.01 degrees
Element x y z (fractional)
Mg 0.8309 0.8309 0.1295
Mg 0.1442 0.1442 0.4731
Mg 0.8558 0.8558 0.5269
Mg 0.1691 0.1691 0.8705
Sn 0.5459 0.5459 0.2136
Sn 0.4541 0.4541 0.7864

The space group is C2/m. The crystal system is monoclinic. Its formation energy is -0.33 eV/f.u. The calculated total energy is -2.51 eV per atom. The calculation puts the total magnetization at 0.000 Bohr magnetons per cell.

***

No. 5
Material: La6Dy2Ho
Method: DFT, PBE
State: relaxed

Cell lengths 3.6579, 3.6579, 27.5768 Å; angles 90.00, 90.00, 120.00 degrees
Element x y z (fractional)
La 0.6667 0.3333 0.8945
La 0.3333 0.6667 0.4338
La 0.3333 0.6667 0.7776
La 0.3333 0.6667 0.2224
La 0.3333 0.6667 0.5662
La 0.6667 0.3333 0.1055
Dy 0.6667 0.3333 0.3293
Dy 0.6667 0.3333 0.6707
Ho 0.3333 0.6667 0.0000

The space group is P-6m2. The crystal system is hexagonal. Its formation energy is 0.51 eV/f.u. The calculated total energy is -4.76 eV per atom. The calculation puts the total magnetization at 0.000 Bohr magnetons per cell. The value obtained for the energy above the lowest structure with this stoichiometry is 0 meV/atom.

***

No. 6
Material: CaTmPu2Te4
Method: DFT, PBE
State: relaxed

Cell lengths 4.4025, 7.6512, 7.6744 Å; angles 109.23, 90.00, 90.00 degrees
Each line ends with the local moment (μB).
Element x y z (fractional)
Ca 0.0000 0.0000 0.0000  -0.01
Tm 0.5000 0.5000 0.0000  -0.06
Pu 0.5000 0.0000 0.5000  -5.62
Pu 0.0000 0.5000 0.5000  -5.57
Te 0.5000 0.2533 0.2453  0.04
Te 0.5000 0.7467 0.7547  0.04
Te 0.0000 0.2569 0.7576  0.04
Te 0.0000 0.7431 0.2424  0.04

The space group is P2/m. The crystal system is monoclinic. The raw formation energy comes out at -1242 meV per atom. The calculated total energy is -7.20 eV per atom. The calculation puts the total magnetization at 11.988 Bohr magnetons per cell.

***

No. 7
Material: SnOsIN2
Method: DFT, PBE
State: relaxed

Cell lengths 4.0466, 4.0466, 5.6361 Å; angles 90.00, 90.00, 90.00 degrees
Element x y z (fractional)
I 0.0000 0.0000 0.5000
Os 0.0000 0.0000 0.0000
Sn 0.5000 0.5000 0.5000
N 0.0000 0.5000 0.0000
N 0.5000 0.0000 0.0000

The space group is P4/mmm. The crystal system is tetragonal. The raw formation energy comes out at 1063 meV per atom. The calculated total energy is -5.62 eV per atom. The calculation puts the total magnetization at 0.000 Bohr magnetons per cell. The value obtained for the energy above the lowest structure with this stoichiometry is 0 meV/atom.

***

No. 8
Material: Gd2DyY
Method: DFT, PBE
State: relaxed

Cell lengths 3.5674, 3.5674, 11.8336 Å; angles 81.33, 81.33, 60.00 degrees
Each line ends with the local moment (μB).
Element x y z (fractional)
Y 0.0000 0.0000 0.0000  0.04
Gd 0.7504 0.7504 0.7487  -7.14
Gd 0.2496 0.2496 0.2513  -7.14
Dy 0.5000 0.5000 0.5000  0.05

The space group is R-3m. The crystal system is trigonal. Its formation energy is 0.10 eV/f.u. The calculated total energy is -9.78 eV per atom. The calculation puts the total magnetization at 14.584 Bohr magnetons per cell. The value obtained for the energy above the lowest structure with this stoichiometry is 0 meV/atom.

***

No. 9
Material: HW2I
Method: DFT, PBE
State: relaxed

Cell lengths 4.4250, 4.4250, 4.4250 Å; angles 60.00, 60.00, 60.00 degrees
Each line ends with the local moment (μB).
Element x y z (fractional)
I 0.5000 0.5000 0.5000  0.01
H 0.0000 0.0000 0.0000  0.00
W 0.2500 0.2500 0.2500  0.20
W 0.7500 0.7500 0.7500  0.20

The space group is Fm-3m. The crystal system is cubic. The calculated total energy is -5.86 eV per atom. The calculation puts the total magnetization at 0.558 Bohr magnetons per cell. The value obtained for the energy above the lowest structure with this stoichiometry is 756 meV/atom.

***

No. 10
Material: Cd3P
Method: DFT, PBE
State: relaxed

Cell lengths 3.1411, 5.5158, 4.9540 Å; angles 90.00, 90.00, 90.00 degrees
Element x y z (fractional)
Cd 0.0000 0.0000 0.0469
Cd 0.5000 0.0000 0.5398
Cd 0.5000 0.5000 0.7991
P 0.0000 0.5000 0.2809

The space group is Pmm2. The crystal system is orthorhombic. Its formation energy is 0.95 eV/f.u. The calculated total energy is -1.80 eV per atom. The calculation puts the total magnetization at 0.000 Bohr magnetons per cell. The value obtained for the energy above the lowest structure with this stoichiometry is 148 meV/atom.

***

No. 11
Material: KLi2Tl2
Method: DFT, PBE
State: relaxed

Cell lengths 5.2887, 5.2887, 6.4077 Å; angles 65.63, 65.63, 90.00 degrees
Element x y z (fractional)
Tl 0.3537 0.3537 0.2927
Tl 0.6463 0.6463 0.7073
K 0.0000 0.0000 0.0000
Li 0.7500 0.2500 0.5000
Li 0.2500 0.7500 0.5000

The space group is I4/mmm. The crystal system is tetragonal. Its formation energy is -0.43 eV/f.u. The calculated total energy is -2.02 eV per atom. The calculation puts the total magnetization at 0.000 Bohr magnetons per cell. The value obtained for the energy above the lowest structure with this stoichiometry is 39 meV/atom.

***

No. 12
Material: MnAl2Cr
Method: DFT, PBE
State: relaxed

Cell lengths 4.5399, 4.5399, 2.7015 Å; angles 90.01, 90.01, 105.04 degrees
Each line ends with the local moment (μB).
Element x y z (fractional)
Cr 0.5000 0.0000 0.5000  1.28
Mn 0.0000 0.5000 0.5000  2.52
Al 0.0000 0.0000 0.0000  -0.04
Al 0.5000 0.5000 0.0000  -0.04

The space group is Cmmm. The crystal system is orthorhombic. Its formation energy is -0.44 eV/f.u. The calculated total energy is -6.68 eV per atom. The calculation puts the total magnetization at 3.846 Bohr magnetons per cell.